Here is a relaxed structure of MnAl4In from Alexandria. Energies are from PBE.

The value obtained for the uncorrected energy is -4.2677 eV/atom. For the energy of formation, the calculation gives 212.0 meV per atom.

a b c (Å): 7.559 7.559 7.559
angles (deg): 90.00 90.00 90.00
Space group F-43m (No. 216)
Unique sites:
Mn 0.000 0.000 0.000 (multiplicity 4)
Al 0.125 0.125 0.375 (multiplicity 16)
In 0.250 0.250 0.750 (multiplicity 4)